This record from Alexandria describes an optimized crystal structure of BeBrCl2. The functional is PBE-GGA.

Summary:
* E_tot: -2.95 eV per atom
* crystal system: orthorhombic

Unit cell a=2.9459 b=8.9833 c=11.2945 alpha=90.00 beta=90.00 gamma=90.00
Last column: nearest neighbours and their distance in Å.
Fractional coordinates of all 8 atoms:
1 Be 0.0000 0.0000 0.0000  4 Cl 2.08
2 Be 0.5000 0.5000 0.0000  4 Cl 2.08
3 Br 0.0000 0.0000 0.5000  2 Br 2.95
4 Br 0.5000 0.5000 0.5000  2 Br 2.95
5 Cl 0.0000 0.5000 0.1298  2 Be 2.08
6 Cl 0.0000 0.5000 0.8702  2 Be 2.08
7 Cl 0.5000 0.0000 0.1298  2 Be 2.08
8 Cl 0.5000 0.0000 0.8702  2 Be 2.08

This record from Alexandria describes an optimized crystal structure of BeBrCl2. The functional is PBE-GGA.

Summary:
* E_tot: -3.06 eV per atom
* crystal system: monoclinic

Unit cell a=6.5096 b=3.0383 c=7.1213 alpha=90.00 beta=113.54 gamma=90.00
Last column: nearest neighbours and their distance in Å.
Fractional coordinates of all 4 atoms:
1 Be 0.0000 0.0000 0.0000  3 Cl 1.86-1.95
2 Br 0.4799 0.5000 0.5215  2 Br 3.04
3 Cl 0.1242 0.5000 0.9079  2 Be 1.95
4 Cl 0.8158 0.0000 0.1427  1 Be 1.86

This record from Alexandria describes an optimized crystal structure of BeBrCl2. The functional is PBE-GGA.

Summary:
* E_tot: -1.73 eV per atom
* crystal system: cubic

Unit cell a=6.7812 b=6.7812 c=6.7812 alpha=90.00 beta=90.00 gamma=90.00
Last column: nearest neighbours and their distance in Å.
Fractional coordinates of all 16 atoms:
1 Be 0.0000 0.0000 0.0000  4 Cl 2.94, 4 Br 2.94
2 Be 0.0000 0.5000 0.5000  4 Cl 2.94, 4 Br 2.94
3 Be 0.5000 0.0000 0.5000  4 Cl 2.94, 4 Br 2.94
4 Be 0.5000 0.5000 0.0000  4 Cl 2.94, 4 Br 2.94
5 Br 0.2500 0.2500 0.2500  4 Cl 2.94, 4 Be 2.94
6 Br 0.2500 0.7500 0.7500  4 Cl 2.94, 4 Be 2.94
7 Br 0.7500 0.2500 0.7500  4 Cl 2.94, 4 Be 2.94
8 Br 0.7500 0.7500 0.2500  4 Cl 2.94, 4 Be 2.94
9 Cl 0.0000 0.0000 0.5000  4 Cl 2.94, 4 Br 2.94
10 Cl 0.0000 0.5000 0.0000  4 Cl 2.94, 4 Br 2.94
11 Cl 0.2500 0.2500 0.7500  4 Cl 2.94, 4 Be 2.94
12 Cl 0.2500 0.7500 0.2500  4 Cl 2.94, 4 Be 2.94
13 Cl 0.5000 0.0000 0.0000  4 Cl 2.94, 4 Br 2.94
14 Cl 0.5000 0.5000 0.5000  4 Cl 2.94, 4 Br 2.94
15 Cl 0.7500 0.2500 0.2500  4 Cl 2.94, 4 Be 2.94
16 Cl 0.7500 0.7500 0.7500  4 Be 2.94, 4 Cl 2.94

This record from Alexandria describes an optimized crystal structure of Be2BrCl. The functional is PBE-GGA.

Summary:
* E_tot: -2.92 eV per atom
* crystal system: orthorhombic

Unit cell a=3.1013 b=6.9797 c=8.9180 alpha=90.00 beta=90.00 gamma=90.00
Last column: nearest neighbours and their distance in Å.
Fractional coordinates of all 8 atoms:
1 Be 0.0000 0.0000 0.0000  2 Cl 2.06
2 Be 0.0000 0.5000 0.2247  2 Br 2.17
3 Be 0.5000 0.0000 0.2247  2 Br 2.17
4 Be 0.5000 0.5000 0.0000  2 Cl 2.06
5 Br 0.0000 0.0000 0.3957  2 Be 2.17
6 Br 0.5000 0.5000 0.3957  2 Be 2.17
7 Cl 0.0000 0.5000 0.8486  2 Be 2.06
8 Cl 0.5000 0.0000 0.8486  2 Be 2.06

This record from Alexandria describes an optimized crystal structure of Be2BrCl. The functional is PBE-GGA.

Summary:
* E_tot: -2.43 eV per atom
* crystal system: tetragonal

Unit cell a=3.0498 b=3.0498 c=8.4466 alpha=90.00 beta=90.00 gamma=90.00
Last column: nearest neighbours and their distance in Å.
Fractional coordinates of all 4 atoms:
1 Be 0.0000 0.0000 0.0000  4 Cl 2.50
2 Be 0.5000 0.5000 0.2401  4 Br 2.52
3 Br 0.0000 0.0000 0.3949  4 Be 2.52
4 Cl 0.5000 0.5000 0.8513  4 Be 2.50

This record from Alexandria describes an optimized crystal structure of BeBr2Cl2. The functional is PBE-GGA.

Summary:
* E_tot: -2.56 eV per atom
* crystal system: tetragonal

Unit cell a=5.9956 b=5.9956 c=8.6153 alpha=90.00 beta=90.00 gamma=90.00
Last column: nearest neighbours and their distance in Å.
Fractional coordinates of all 10 atoms:
1 Be 0.0000 0.0000 0.0000  4 Cl 2.17
2 Be 0.5000 0.5000 0.0000  4 Cl 2.17
3 Br 0.1386 0.3614 0.5000  1 Br 2.35
4 Br 0.3614 0.8614 0.5000  1 Br 2.35
5 Br 0.6386 0.1386 0.5000  1 Br 2.35
6 Br 0.8614 0.6386 0.5000  1 Br 2.35
7 Cl 0.1928 0.6928 0.0000  2 Be 2.17
8 Cl 0.3072 0.1928 0.0000  2 Be 2.17
9 Cl 0.6928 0.8072 0.0000  2 Be 2.17
10 Cl 0.8072 0.3072 0.0000  2 Be 2.17

This record from Alexandria describes an optimized crystal structure of BeBrCl2. The functional is PBE-GGA.

Summary:
* E_tot: -2.96 eV per atom
* crystal system: monoclinic

Unit cell a=4.5294 b=2.9378 c=9.9018 alpha=90.00 beta=97.67 gamma=90.00
Last column: nearest neighbours and their distance in Å.
Fractional coordinates of all 4 atoms:
1 Be 0.0000 0.0000 0.0000  4 Cl 2.08
2 Br 0.5000 0.0000 0.5000  2 Br 2.94
3 Cl 0.1168 0.5000 0.8686  2 Be 2.08
4 Cl 0.8832 0.5000 0.1314  2 Be 2.08

This record from Alexandria describes an optimized crystal structure of BeBrCl2. The functional is PBE-GGA.

Summary:
* E_tot: -1.89 eV per atom
* crystal system: monoclinic

Unit cell a=6.6709 b=7.5470 c=5.0264 alpha=90.00 beta=131.40 gamma=90.00
Last column: nearest neighbours and their distance in Å.
Fractional coordinates of all 8 atoms:
1 Be 0.0000 0.0000 0.0000  4 Cl 2.67
2 Be 0.5000 0.5000 0.0000  4 Cl 2.67
3 Br 0.0000 0.5000 0.0000  4 Cl 2.67
4 Br 0.5000 0.0000 0.0000  4 Cl 2.67
5 Cl 0.2500 0.2500 0.5000  2 Br 2.67, 2 Be 2.67
6 Cl 0.2500 0.7500 0.5000  2 Br 2.67, 2 Be 2.67
7 Cl 0.7500 0.2500 0.5000  2 Br 2.67, 2 Be 2.67
8 Cl 0.7500 0.7500 0.5000  2 Br 2.67, 2 Be 2.67

This record from Alexandria describes an optimized crystal structure of Be2BrCl. The functional is PBE-GGA.

Summary:
* E_tot: -2.37 eV per atom
* crystal system: orthorhombic

Unit cell a=6.3402 b=6.5821 c=6.6250 alpha=90.00 beta=90.00 gamma=90.00
Last column: nearest neighbours and their distance in Å.
Fractional coordinates of all 16 atoms:
1 Be 0.0000 0.2500 0.2500  2 Cl 2.33, 2 Br 2.33
2 Be 0.0000 0.2500 0.7500  2 Cl 2.33, 2 Br 2.33
3 Be 0.0000 0.7500 0.2500  2 Cl 2.33, 2 Br 2.33
4 Be 0.0000 0.7500 0.7500  2 Br 2.33, 2 Cl 2.33
5 Be 0.5000 0.2500 0.2500  2 Cl 2.33, 2 Br 2.33
6 Be 0.5000 0.2500 0.7500  2 Cl 2.33, 2 Br 2.33
7 Be 0.5000 0.7500 0.2500  2 Cl 2.33, 2 Br 2.33
8 Be 0.5000 0.7500 0.7500  2 Cl 2.33, 2 Br 2.33
9 Br 0.0000 0.0000 0.0000  4 Be 2.33
10 Br 0.0000 0.5000 0.5000  4 Be 2.33
11 Br 0.5000 0.0000 0.5000  4 Be 2.33
12 Br 0.5000 0.5000 0.0000  4 Be 2.33
13 Cl 0.0000 0.0000 0.5000  4 Be 2.33
14 Cl 0.0000 0.5000 0.0000  4 Be 2.33
15 Cl 0.5000 0.0000 0.0000  4 Be 2.33
16 Cl 0.5000 0.5000 0.5000  4 Be 2.33

This record from Alexandria describes an optimized crystal structure of BeBrCl2. The functional is PBE-GGA.

Summary:
* E_tot: -2.90 eV per atom
* crystal system: tetragonal

Unit cell a=6.5709 b=6.5709 c=9.0215 alpha=90.00 beta=90.00 gamma=90.00
Last column: nearest neighbours and their distance in Å.
Fractional coordinates of all 16 atoms:
1 Be 0.0000 0.0000 0.0000  4 Cl 2.05
2 Be 0.0000 0.5000 0.2500  4 Cl 2.05
3 Be 0.5000 0.0000 0.7500  4 Cl 2.05
4 Be 0.5000 0.5000 0.5000  4 Cl 2.05
5 Br 0.0000 0.0000 0.5000  8 Cl 3.43-3.79
6 Br 0.0000 0.5000 0.7500  8 Cl 3.43-3.79
7 Br 0.5000 0.0000 0.2500  8 Cl 3.43-3.79
8 Br 0.5000 0.5000 0.0000  8 Cl 3.43-3.79
9 Cl 0.0753 0.2500 0.1250  2 Be 2.05
10 Cl 0.2500 0.5753 0.3750  2 Be 2.05
11 Cl 0.2500 0.9247 0.8750  2 Be 2.05
12 Cl 0.4247 0.2500 0.6250  2 Be 2.05
13 Cl 0.5753 0.7500 0.6250  2 Be 2.05
14 Cl 0.7500 0.0753 0.8750  2 Be 2.05
15 Cl 0.7500 0.4247 0.3750  2 Be 2.05
16 Cl 0.9247 0.7500 0.1250  2 Be 2.05

This record from Alexandria describes an optimized crystal structure of BeBr2Cl2. The functional is PBE-GGA.

Summary:
* E_tot: -1.78 eV per atom
* crystal system: tetragonal

Unit cell a=3.6906 b=3.6906 c=21.2177 alpha=90.00 beta=90.00 gamma=90.00
Last column: nearest neighbours and their distance in Å.
Fractional coordinates of all 10 atoms:
1 Be 0.0000 0.0000 0.0000  8 Cl 3.00
2 Be 0.5000 0.5000 0.5000  8 Cl 3.00
3 Br 0.0000 0.5000 0.2500  4 Br 2.61
4 Br 0.0000 0.5000 0.7500  4 Br 2.61
5 Br 0.5000 0.0000 0.2500  4 Br 2.61
6 Br 0.5000 0.0000 0.7500  4 Br 2.61
7 Cl 0.0000 0.0000 0.4302  1 Cl 2.96, 4 Be 3.00
8 Cl 0.0000 0.0000 0.5698  1 Cl 2.96, 4 Be 3.00
9 Cl 0.5000 0.5000 0.0698  1 Cl 2.96, 4 Be 3.00
10 Cl 0.5000 0.5000 0.9302  1 Cl 2.96, 4 Be 3.00

This record from Alexandria describes an optimized crystal structure of Be2BrCl. The functional is PBE-GGA.

Summary:
* E_tot: -2.28 eV per atom
* crystal system: tetragonal

Unit cell a=3.3297 b=3.3297 c=13.2540 alpha=90.00 beta=90.00 gamma=90.00
Last column: nearest neighbours and their distance in Å.
Fractional coordinates of all 8 atoms:
1 Be 0.0000 0.0000 0.0000  4 Cl 2.35
2 Be 0.0000 0.5000 0.2500  4 Br 2.35
3 Be 0.5000 0.0000 0.7500  4 Br 2.35
4 Be 0.5000 0.5000 0.5000  4 Cl 2.35
5 Br 0.0000 0.5000 0.7500  4 Be 2.35
6 Br 0.5000 0.0000 0.2500  4 Be 2.35
7 Cl 0.0000 0.0000 0.5000  4 Be 2.35
8 Cl 0.5000 0.5000 0.0000  4 Be 2.35

DOS at the Fermi energy, respectively: 0.77 0.85 1.03 0.10 0.36 0.00 0.66 0.44 0.41 0.85 0.33 0.26 states/eV per atom.
Uncorrected formation energy, respectively: -675.9 -785.3 541.1 -175.5 316.5 -411.9 -683.4 379.5 371.7 -627.5 372.5 466.9 meV/atom.